(1)
The following is a meta-GGA SCAN calculation of a crystal of CuSnN2 relaxed with PBEsol, from Alexandria via LeMat-Bulk.

magnetic moment	0.0000	μB/atom
ρ	7.1	g/cm3
E	-16.490	eV/atom

Cell: 6.3485 6.3485 6.3485 Å, 27.91 27.91 27.91°
Last column: nearest neighbours and their distance in Å.
Positions (direct):
Cu (0.0000, 0.0000, 0.0000)  6 N 1.99
Sn (0.5000, 0.5000, 0.5000)  2 N 2.13
N (0.3834, 0.3834, 0.3834)  3 Cu 1.99, 1 Sn 2.13
N (0.6166, 0.6166, 0.6166)  3 Cu 1.99, 1 Sn 2.13

(2)
The following is a meta-GGA SCAN calculation of a crystal of CuSnTe2N relaxed with PBEsol, from Alexandria via LeMat-Bulk.

magnetic moment	0.1802	μB/atom
ρ	5.9	g/cm3
E	-25.843	eV/atom

Cell: 5.7669 5.7669 3.8033 Å, 90.00 90.00 90.00°
Last column: nearest neighbours and their distance in Å.
Positions (direct):
Cu (0.0000, 0.0000, 0.0000)  8 Te 3.45, 2 Cu 3.80
Sn (0.5000, 0.5000, 0.5000)  2 N 1.90
Te (0.0000, 0.5000, 0.5000)  2 Sn 2.88
Te (0.5000, 0.0000, 0.5000)  2 Sn 2.88
N (0.5000, 0.5000, 0.0000)  2 Sn 1.90

(3)
The following is a meta-GGA SCAN calculation of a crystal of Sr2CuN2 relaxed with PBEsol, from Alexandria via LeMat-Bulk.

magnetic moment	0.2008	μB/atom
ρ	5.0	g/cm3
E	-16.265	eV/atom

Cell: 6.8070 6.8070 6.8070 Å, 147.92 147.92 46.01°
Last column: nearest neighbours and their distance in Å.
Positions (direct):
Sr (0.1518, 0.1518, 0.0000)  5 N 2.57-2.66
Sr (0.8482, 0.8482, 0.0000)  5 N 2.57-2.66
Cu (0.5000, 0.5000, 0.0000)  2 N 1.79
N (0.3571, 0.3571, 0.0000)  1 Cu 1.79
N (0.6429, 0.6429, 0.0000)  1 Cu 1.79

(4)
The following is a meta-GGA SCAN calculation of a crystal of Sr6Cu3N5 relaxed with PBEsol, from Alexandria via LeMat-Bulk.

magnetic moment	0.0000	μB/atom
ρ	4.9	g/cm3
E	-16.767	eV/atom

Cell: 8.5687 8.5687 7.2466 Å, 90.00 90.00 90.00°
Last column: nearest neighbours and their distance in Å.
Positions (direct):
Sr (0.0000, 0.0000, 0.0000)  4 N 2.55-2.68
Sr (0.0000, 0.0000, 0.5000)  4 N 2.55-2.68
Sr (0.0000, 0.5000, 0.0231)  2 N 2.48
Sr (0.2655, 0.3035, 0.7098)  4 N 2.60-2.89
Sr (0.2655, 0.6965, 0.7098)  4 N 2.60-2.89
Sr (0.3035, 0.2655, 0.2098)  4 N 2.60-2.89
Sr (0.3035, 0.7345, 0.2098)  4 N 2.60-2.89
Sr (0.5000, 0.0000, 0.5231)  2 N 2.48
Sr (0.6965, 0.2655, 0.2098)  4 N 2.60-2.89
Sr (0.6965, 0.7345, 0.2098)  4 N 2.60-2.89
Sr (0.7345, 0.3035, 0.7098)  4 N 2.60-2.89
Sr (0.7345, 0.6965, 0.7098)  4 N 2.60-2.89
Cu (0.0000, 0.3594, 0.4315)  2 N 1.85-1.88
Cu (0.0000, 0.6406, 0.4315)  2 N 1.85-1.88
Cu (0.3594, 0.0000, 0.9315)  2 N 1.85-1.88
Cu (0.5000, 0.5000, 0.4709)  2 N 1.82
Cu (0.5000, 0.5000, 0.9709)  2 N 1.82
Cu (0.6406, 0.0000, 0.9315)  2 N 1.85-1.88
N (0.0000, 0.2198, 0.2373)  1 Cu 1.85
N (0.0000, 0.5000, 0.6309)  2 Cu 1.88
N (0.0000, 0.7802, 0.2373)  1 Cu 1.85
N (0.2198, 0.0000, 0.7373)  1 Cu 1.85
N (0.2875, 0.5000, 0.9834)  1 Cu 1.82
N (0.5000, 0.0000, 0.1309)  2 Cu 1.88
N (0.5000, 0.2875, 0.4834)  1 Cu 1.82
N (0.5000, 0.7125, 0.4834)  1 Cu 1.82
N (0.7125, 0.5000, 0.9834)  1 Cu 1.82
N (0.7802, 0.0000, 0.7373)  1 Cu 1.85

(5)
The following is a meta-GGA SCAN calculation of a crystal of TaCuN2 relaxed with PBEsol, from Alexandria via LeMat-Bulk.

magnetic moment	0.0000	μB/atom
ρ	9.3	g/cm3
E	-25.762	eV/atom
ΔE to the lowest computed polymorph	0	meV per atom

Cell: 6.0602 6.0602 6.0602 Å, 29.84 29.84 29.84°
Last column: nearest neighbours and their distance in Å.
Positions (direct):
Ta (0.0000, 0.0000, 0.0000)  6 N 2.09
Cu (0.5000, 0.5000, 0.5000)  2 N 1.83
N (0.3945, 0.3945, 0.3945)  1 Cu 1.83
N (0.6055, 0.6055, 0.6055)  1 Cu 1.83

(6)
The following is a meta-GGA SCAN calculation of a crystal of TaCuN2 relaxed with PBEsol, from Alexandria via LeMat-Bulk.

magnetic moment	0.0000	μB/atom
ρ	12.3	g/cm3
E	-24.920	eV/atom
ΔE to the lowest computed polymorph	842	meV per atom

Cell: 3.7368 3.7368 3.7368 Å, 60.00 60.00 60.00°
Last column: nearest neighbours and their distance in Å.
Positions (direct):
Ta (0.0000, 0.0000, 0.0000)  8 N 2.29
Cu (0.5000, 0.5000, 0.5000)  8 N 2.29
N (0.2500, 0.2500, 0.2500)  4 Ta 2.29, 4 Cu 2.29
N (0.7500, 0.7500, 0.7500)  4 Cu 2.29, 4 Ta 2.29